1.
{
  "formula": "TbEr2Ge2Rh5",
  "functional": "GGA-PBE",
  "state": "relaxed",
  "total_magnetization_mub_per_cell": 0.00,
  "energy_ev_per_atom": -6.84,
  "lattice_angstrom": [[3.671, 0.000, 0.000], [0.000, 9.911, 0.000], [0.000, 0.000, 9.911]],
  "species": ["Rh", "Rh", "Rh", "Rh", "Rh", "Rh", "Rh", "Rh", "Rh", "Rh", "Er", "Er", "Er", "Er", "Ge", "Ge", "Ge", "Ge", "Tb", "Tb"],
  "frac_coords": [[0.500, 0.070, 0.784], [0.500, 0.716, 0.430], [0.500, 0.570, 0.716], [0.500, 0.000, 0.500], [0.500, 0.930, 0.216], [0.500, 0.500, 0.000], [0.500, 0.216, 0.070], [0.500, 0.784, 0.930], [0.500, 0.284, 0.570], [0.500, 0.430, 0.284], [0.000, 0.173, 0.327], [0.000, 0.827, 0.673], [0.000, 0.327, 0.827], [0.000, 0.673, 0.173], [0.000, 0.624, 0.876], [0.000, 0.376, 0.124], [0.000, 0.124, 0.624], [0.000, 0.876, 0.376], [0.000, 0.000, 0.000], [0.000, 0.500, 0.500]]
}

***

2.
{
  "formula": "Tb2PrCu9",
  "functional": "GGA-PBE",
  "state": "relaxed",
  "total_magnetization_mub_per_cell": 0.00,
  "energy_ev_per_atom": -4.42,
  "lattice_angstrom": [[-4.957, 1.564, -0.663], [-3.675, -1.400, 3.463], [-1.314, 6.882, 5.353]],
  "species": ["Cu", "Cu", "Cu", "Cu", "Cu", "Cu", "Cu", "Cu", "Cu", "Tb", "Tb", "Pr"],
  "frac_coords": [[0.582, 0.084, 0.752], [0.084, 0.582, 0.752], [0.500, 0.500, 0.500], [0.418, 0.916, 0.248], [0.582, 0.582, 0.752], [0.916, 0.418, 0.248], [0.668, 0.668, 0.996], [0.332, 0.332, 0.004], [0.418, 0.418, 0.248], [0.856, 0.856, 0.432], [0.144, 0.144, 0.568], [0.000, 0.000, 0.000]]
}

***

3.
{
  "formula": "TaTi6H3",
  "functional": "GGA-PBE",
  "state": "relaxed",
  "total_magnetization_mub_per_cell": 0.00,
  "energy_ev_per_atom": -6.95,
  "lattice_angstrom": [[-3.666, -2.231, -3.490], [2.790, -3.230, 3.518], [-1.944, 3.135, 4.420]],
  "species": ["Ti", "Ti", "Ti", "Ti", "Ti", "Ti", "H", "H", "H", "Ta"],
  "frac_coords": [[0.820, 0.069, 0.221], [0.819, 0.376, 0.728], [0.152, 0.751, 0.221], [0.470, 0.401, 0.221], [0.352, 0.443, 0.728], [0.286, 0.909, 0.728], [0.670, 0.335, 0.005], [0.302, 0.151, 0.452], [0.333, 0.667, 0.000], [0.797, 0.899, 0.696]]
}

***

4.
{
  "formula": "AlGaHg",
  "functional": "GGA-PBE",
  "state": "relaxed",
  "total_magnetization_mub_per_cell": 0.00,
  "energy_ev_per_atom": -2.25,
  "lattice_angstrom": [[-1.103, 2.105, 2.439], [-0.757, -3.318, 0.143], [5.085, -1.024, 3.184]],
  "species": ["Al", "Ga", "Hg"],
  "frac_coords": [[0.333, 0.667, 0.657], [0.667, 0.333, 0.349], [0.000, 0.000, 0.995]]
}